VASP calculation (PBE) on a geometry-optimized NaLiI2O structure.

Lattice parameters (Å, degrees): 5.8586 5.8586 3.6217 90.00 90.00 90.00
Fractional coordinates of all 5 atoms:
I (0.5000, 0.0000, 0.0000)
I (0.0000, 0.5000, 0.0000)
O (0.0000, 0.0000, 0.5000)
Li (0.0000, 0.0000, 0.0000)
Na (0.5000, 0.5000, 0.5000)

Calculated values
For the uncorrected energy, the calculation gives -2.79 eV/atom. The density of states at the Fermi level comes out at 7.114 states/eV/f.u. The calculation puts the calculated volume at 24.9 A^3/atom. The calculation puts the energy above the most stable polymorph in this dataset at 0.000 eV per atom. As for the space-group type: P4/mmm (123). The uncorrected formation energy comes out at -0.5331 eV per atom.

***

VASP calculation (PBE) on a geometry-optimized Cs2KAs2Pd structure.

Lattice parameters (Å, degrees): 7.2571 8.6198 9.3423 117.47 112.86 90.00
Fractional coordinates of all 12 atoms:
As (0.4479, 0.6323, 0.8959)
As (0.5521, 0.3677, 0.1041)
As (0.9479, 0.2635, 0.8959)
As (0.0521, 0.7365, 0.1041)
Pd (0.2500, 0.5000, 0.0000)
Pd (0.7500, 0.5000, 0.0000)
K (0.7500, 0.0000, 0.0000)
K (0.2500, 0.0000, 0.0000)
Cs (0.6876, 0.8609, 0.3753)
Cs (0.8124, 0.4856, 0.6247)
Cs (0.3124, 0.1391, 0.6247)
Cs (0.1876, 0.5144, 0.3753)

Calculated values
The calculation puts the formation energy at -1.878 eV/f.u. For the uncorrected energy, the calculation gives -3.20 eV/atom. The density of states at the Fermi level comes out at 1.860 states/eV/f.u. The calculation puts the calculated volume at 38.8 A^3/atom. As for the space-group type: Ibam (72).